1.
BaNdPd2 (GGA-PBE, relaxed); E above lowest polymorph = 0.0000 eV/atom; SG = No. 123; energy relative to the elements = -0.646 eV per atom; M_tot = 0.0 μB per cell
1.0
3.7460 0.0000 0.0000
0.0000 3.7460 0.0000
0.0000 0.0000 7.6543
Ba Nd Pd
1 1 2
direct
0.0000 0.0000 0.0000 Ba
0.0000 0.0000 0.5000 Nd
0.5000 0.5000 0.2991 Pd
0.5000 0.5000 0.7009 Pd

2.
Nd2Dy13 (GGA-PBE, relaxed); SG = No. 2; energy relative to the elements = 0.047 eV per atom; M_tot = 0.0 μB per cell
1.0
6.6251 0.0000 0.0000
1.4249 8.6215 0.0000
0.9784 3.0964 8.4001
Nd Dy
2 13
direct
0.1996 0.3052 0.3974 Nd
0.8004 0.6948 0.6026 Nd
0.0000 0.5000 0.0000 Dy
0.0960 0.9231 0.6936 Dy
0.1347 0.6976 0.2650 Dy
0.2376 0.0756 0.9751 Dy
0.3342 0.4986 0.6689 Dy
0.4298 0.9223 0.3586 Dy
0.4673 0.6969 0.9352 Dy
0.5327 0.3031 0.0648 Dy
0.5702 0.0777 0.6414 Dy
0.6658 0.5014 0.3311 Dy
0.7624 0.9244 0.0249 Dy
0.8653 0.3024 0.7350 Dy
0.9040 0.0769 0.3064 Dy

3.
In2FeCu (GGA-PBE, relaxed); E above lowest polymorph = 0.0611 eV/atom; SG = No. 119; energy relative to the elements = 0.272 eV per atom; M_tot = 1.5 μB per cell
1.0
-1.9397 1.9397 4.4702
1.9397 -1.9397 4.4702
1.9397 1.9397 -4.4702
In Fe Cu
2 1 1
direct
0.0000 0.0000 0.0000 In
0.7500 0.2500 0.5000 In
0.5000 0.5000 0.0000 Fe
0.2500 0.7500 0.5000 Cu

Which D(E_F) belongs to each record? In order, 1.72 27.11 3.59 states/eV/cell.